--- i ---
VASP calculation (PBE) on a relaxed structure of BeCrAg.

M_tot = 15.3 μB per cell
SG = No. 216

Unit cell a=5.693 b=5.693 c=5.693 alpha=90.00 beta=90.00 gamma=90.00
Fractional coordinates of all 12 atoms:
Be 0.000 0.000 0.000
Be 0.000 0.500 0.500
Be 0.500 0.000 0.500
Be 0.500 0.500 0.000
Cr 0.250 0.250 0.250
Cr 0.250 0.750 0.750
Cr 0.750 0.250 0.750
Cr 0.750 0.750 0.250
Ag 0.250 0.250 0.750
Ag 0.250 0.750 0.250
Ag 0.750 0.250 0.250
Ag 0.750 0.750 0.750

---

--- ii ---
VASP calculation (PBE) on a relaxed structure of BeCrAg.

M_tot = 3.6 μB per cell
SG = No. 187

Unit cell a=4.149 b=4.149 c=2.869 alpha=90.00 beta=90.00 gamma=120.00
Fractional coordinates of all 3 atoms:
Be 0.000 0.000 0.000
Cr 0.333 0.667 0.500
Ag 0.667 0.333 0.000

---

In terms of stability, ii leads; the second structure lies 133 meV per atom higher.

---

--- i ---
VASP calculation (PBE) on a relaxed structure of BeCu3Ag.

M_tot = 0.0 μB per cell
SG = No. 221

Unit cell a=4.082 b=4.082 c=4.082 alpha=90.00 beta=90.00 gamma=90.00
Fractional coordinates of all 5 atoms:
Be 0.000 0.000 0.000
Cu 0.000 0.000 0.500
Cu 0.000 0.500 0.000
Cu 0.500 0.000 0.000
Ag 0.500 0.500 0.500

---

--- ii ---
VASP calculation (PBE) on a relaxed structure of BeCu3Ag.

M_tot = 0.0 μB per cell
SG = No. 221

Unit cell a=4.676 b=4.676 c=4.676 alpha=90.00 beta=90.00 gamma=90.00
Fractional coordinates of all 5 atoms:
Be 0.000 0.000 0.000
Cu 0.000 0.500 0.500
Cu 0.500 0.000 0.500
Cu 0.500 0.500 0.000
Ag 0.500 0.500 0.500

---

In terms of stability, i leads; the second structure lies 975 meV per atom higher.

---

--- i ---
VASP calculation (PBE) on a relaxed structure of Be2CuAg.

M_tot = 0.0 μB per cell
SG = No. 225

Unit cell a=5.666 b=5.666 c=5.666 alpha=90.00 beta=90.00 gamma=90.00
Fractional coordinates of all 16 atoms:
Be 0.250 0.250 0.250
Be 0.250 0.250 0.750
Be 0.250 0.750 0.250
Be 0.250 0.750 0.750
Be 0.750 0.250 0.250
Be 0.750 0.250 0.750
Be 0.750 0.750 0.250
Be 0.750 0.750 0.750
Cu 0.000 0.000 0.000
Cu 0.000 0.500 0.500
Cu 0.500 0.000 0.500
Cu 0.500 0.500 0.000
Ag 0.000 0.000 0.500
Ag 0.000 0.500 0.000
Ag 0.500 0.000 0.000
Ag 0.500 0.500 0.500

---

--- ii ---
VASP calculation (PBE) on a relaxed structure of Be2CuAg.

M_tot = 0.0 μB per cell
SG = No. 99

Unit cell a=2.783 b=2.783 c=5.920 alpha=90.00 beta=90.00 gamma=90.00
Fractional coordinates of all 4 atoms:
Be 0.000 0.000 0.000
Be 0.500 0.500 0.189
Cu 0.000 0.000 0.395
Ag 0.500 0.500 0.732

---

--- iii ---
VASP calculation (PBE) on a relaxed structure of Be2CuAg.

M_tot = 0.0 μB per cell
SG = No. 6

Unit cell a=2.669 b=3.773 c=4.776 alpha=90.00 beta=106.09 gamma=90.00
Fractional coordinates of all 4 atoms:
Be 0.000 0.000 0.000
Be 0.129 0.500 0.262
Cu 0.712 0.000 0.423
Ag 0.394 0.500 0.790

---

In terms of stability, ii leads; the second structure lies 10 meV per atom higher.

---

--- i ---
VASP calculation (PBE) on a relaxed structure of Be2CuAg.

M_tot = 0.0 μB per cell
SG = No. 8

Unit cell a=8.643 b=2.739 c=4.119 alpha=90.00 beta=109.31 gamma=90.00
Fractional coordinates of all 8 atoms:
Be 0.000 0.000 0.000
Be 0.219 0.500 0.289
Be 0.500 0.500 0.000
Be 0.719 0.000 0.289
Cu 0.466 0.000 0.458
Cu 0.966 0.500 0.458
Ag 0.246 0.000 0.806
Ag 0.746 0.500 0.806

---

--- ii ---
VASP calculation (PBE) on a relaxed structure of Be2CuAg.

M_tot = 0.0 μB per cell
SG = No. 44

Unit cell a=2.863 b=3.979 c=8.079 alpha=90.00 beta=90.00 gamma=90.00
Fractional coordinates of all 8 atoms:
Be 0.000 0.000 0.000
Be 0.000 0.500 0.273
Be 0.500 0.000 0.773
Be 0.500 0.500 0.500
Cu 0.000 0.500 0.738
Cu 0.500 0.000 0.238
Ag 0.000 0.000 0.515
Ag 0.500 0.500 0.015

---

--- iii ---
VASP calculation (PBE) on a relaxed structure of Be2CuAg.

M_tot = 0.0 μB per cell
SG = No. 122

Unit cell a=3.603 b=3.603 c=16.230 alpha=90.00 beta=90.00 gamma=90.00
Fractional coordinates of all 16 atoms:
Be 0.201 0.250 0.125
Be 0.250 0.701 0.375
Be 0.250 0.799 0.875
Be 0.299 0.250 0.625
Be 0.701 0.750 0.625
Be 0.750 0.201 0.875
Be 0.750 0.299 0.375
Be 0.799 0.750 0.125
Cu 0.000 0.000 0.000
Cu 0.000 0.500 0.250
Cu 0.500 0.000 0.750
Cu 0.500 0.500 0.500
Ag 0.000 0.000 0.500
Ag 0.000 0.500 0.750
Ag 0.500 0.000 0.250
Ag 0.500 0.500 0.000

---

In terms of stability, i leads; the second structure lies 21 meV per atom higher.

---

--- i ---
VASP calculation (PBE) on a relaxed structure of Be2CuAg.

M_tot = 0.0 μB per cell
SG = No. 160

Unit cell a=2.676 b=2.676 c=23.575 alpha=90.00 beta=90.00 gamma=120.00
Fractional coordinates of all 12 atoms:
Be 0.000 0.000 0.000
Be 0.000 0.000 0.262
Be 0.333 0.667 0.667
Be 0.333 0.667 0.928
Be 0.667 0.333 0.333
Be 0.667 0.333 0.595
Cu 0.000 0.000 0.741
Cu 0.333 0.667 0.408
Cu 0.667 0.333 0.075
Ag 0.000 0.000 0.508
Ag 0.333 0.667 0.174
Ag 0.667 0.333 0.841

---

--- ii ---
VASP calculation (PBE) on a relaxed structure of Be2CuAg.

M_tot = 0.0 μB per cell
SG = No. 166

Unit cell a=2.663 b=2.663 c=23.577 alpha=90.00 beta=90.00 gamma=120.00
Fractional coordinates of all 12 atoms:
Be 0.000 0.000 0.245
Be 0.000 0.000 0.755
Be 0.333 0.667 0.422
Be 0.333 0.667 0.911
Be 0.667 0.333 0.089
Be 0.667 0.333 0.578
Cu 0.000 0.000 0.500
Cu 0.333 0.667 0.167
Cu 0.667 0.333 0.833
Ag 0.000 0.000 0.000
Ag 0.333 0.667 0.667
Ag 0.667 0.333 0.333

---

--- iii ---
VASP calculation (PBE) on a relaxed structure of Be2CuAg.

M_tot = 0.0 μB per cell
SG = No. 123

Unit cell a=3.973 b=3.973 c=2.891 alpha=90.00 beta=90.00 gamma=90.00
Fractional coordinates of all 4 atoms:
Be 0.000 0.500 0.000
Be 0.500 0.000 0.000
Cu 0.000 0.000 0.500
Ag 0.500 0.500 0.500

---

In terms of stability, iii leads; the second structure lies 152 meV per atom higher.

---

--- i ---
VASP calculation (PBE) on a relaxed structure of Be3CuAg.

M_tot = 0.0 μB per cell
SG = No. 221

Unit cell a=4.047 b=4.047 c=4.047 alpha=90.00 beta=90.00 gamma=90.00
Fractional coordinates of all 5 atoms:
Be 0.000 0.000 0.500
Be 0.000 0.500 0.000
Be 0.500 0.000 0.000
Cu 0.000 0.000 0.000
Ag 0.500 0.500 0.500

---

--- ii ---
VASP calculation (PBE) on a relaxed structure of Be3CuAg.

M_tot = 0.0 μB per cell
SG = No. 221

Unit cell a=4.268 b=4.268 c=4.268 alpha=90.00 beta=90.00 gamma=90.00
Fractional coordinates of all 5 atoms:
Be 0.000 0.000 0.500
Be 0.000 0.500 0.000
Be 0.500 0.000 0.000
Cu 0.500 0.500 0.500
Ag 0.000 0.000 0.000

---

In terms of stability, i leads; the second structure lies 430 meV per atom higher.